Record 1
Below is a geometry-optimized PrAl2SiRh structure, with properties calculated at the PBE level.

Electronic total energy   -28.81 eV per cell
Uncorrected formation energy   -0.753 eV per atom

Lattice parameters (Å, degrees): 4.1547 3.9924 6.2709 108.56 109.35 90.00
With the nearest neighbours (Å) after each atom.
Fractional positions:
Pr 0.4355 0.4355 0.8710  4 Si 3.12, 6 Al 3.18-3.41, 2 Rh 3.31
Al 0.6928 0.1928 0.3856  2 Si 2.51, 2 Al 2.58
Al 0.0562 0.0562 0.1123  1 Si 2.53, 2 Rh 2.55, 2 Al 2.58
Si 0.8288 0.8288 0.6577  3 Al 2.51-2.53, 2 Rh 2.53
Rh 0.1988 0.6988 0.3976  2 Si 2.53, 2 Al 2.55



Record 2
Below is a geometry-optimized Pr3AlSi2Rh9 structure, with properties calculated at the PBE level.

Electronic total energy   -103.76 eV per cell
Uncorrected formation energy   -0.578 eV per atom

Lattice parameters (Å, degrees): 6.4015 6.4015 7.8686 90.00 90.00 120.00
With the nearest neighbours (Å) after each atom.
Fractional positions:
Pr 0.3333 0.6667 0.6625  12 Rh 3.20-3.24
Pr 0.0000 0.0000 0.0000  12 Rh 3.19-3.20
Pr 0.6667 0.3333 0.3375  12 Rh 3.20-3.24
Al 0.0000 0.0000 0.5000  6 Rh 2.31
Si 0.3333 0.6667 0.1640  6 Rh 2.23-2.25
Si 0.6667 0.3333 0.8360  6 Rh 2.23-2.25
Rh 0.8309 0.1691 0.6714  1 Si 2.23, 1 Al 2.31
Rh 0.8309 0.6617 0.6714  1 Si 2.23, 1 Al 2.31
Rh 0.3383 0.1691 0.6714  1 Si 2.23, 1 Al 2.31
Rh 0.6617 0.8309 0.3286  1 Si 2.23, 1 Al 2.31
Rh 0.1691 0.3383 0.3286  1 Si 2.23, 1 Al 2.31
Rh 0.1691 0.8309 0.3286  1 Si 2.23, 1 Al 2.31
Rh 0.5000 0.0000 0.0000  2 Si 2.25
Rh 0.0000 0.5000 0.0000  2 Si 2.25
Rh 0.5000 0.5000 0.0000  2 Si 2.25



Record 3
Below is a geometry-optimized Pr2Al2SnRh5 structure, with properties calculated at the PBE level.

Formation enthalpy at 0 K   -0.78 eV per atom
Electronic total energy   -131.25 eV per cell

Lattice parameters (Å, degrees): 3.5662 10.0999 10.0999 90.00 90.00 90.00
With the nearest neighbours (Å) after each atom.
Fractional positions:
Pr 0.0000 0.6773 0.1773  3 Al 2.90-3.05, 10 Rh 3.10-3.24
Pr 0.0000 0.3227 0.8227  3 Al 2.90-3.05, 10 Rh 3.10-3.24
Pr 0.0000 0.1773 0.3227  3 Al 2.90-3.05, 10 Rh 3.10-3.24
Pr 0.0000 0.8227 0.6773  3 Al 2.90-3.05, 10 Rh 3.10-3.24
Al 0.0000 0.1195 0.6195  6 Rh 2.47-2.53
Al 0.0000 0.8805 0.3805  6 Rh 2.47-2.53
Al 0.0000 0.6195 0.8805  6 Rh 2.47-2.53
Al 0.0000 0.3805 0.1195  6 Rh 2.47-2.53
Sn 0.0000 0.0000 0.0000  8 Rh 2.86
Sn 0.0000 0.5000 0.5000  8 Rh 2.86
Rh 0.5000 0.2114 0.0669  2 Al 2.53
Rh 0.5000 0.7886 0.9331  2 Al 2.53
Rh 0.5000 0.0669 0.7886  2 Al 2.53
Rh 0.5000 0.7114 0.4331  2 Al 2.53
Rh 0.5000 0.9331 0.2114  2 Al 2.53
Rh 0.5000 0.2886 0.5669  2 Al 2.53
Rh 0.5000 0.5669 0.7114  2 Al 2.53
Rh 0.5000 0.4331 0.2886  2 Al 2.53
Rh 0.5000 0.5000 0.0000  4 Al 2.47
Rh 0.5000 0.0000 0.5000  4 Al 2.47



Record 4
Below is a geometry-optimized Pr2AlSn2Rh5 structure, with properties calculated at the PBE level.

Formation enthalpy at 0 K   -0.55 eV per atom
Electronic total energy   -127.16 eV per cell

Lattice parameters (Å, degrees): 3.2377 10.8885 10.8885 90.00 90.00 90.00
With the nearest neighbours (Å) after each atom.
Fractional positions:
Pr 0.0000 0.6676 0.1676  3 Sn 3.01-3.33, 6 Rh 3.05-3.21, 2 Pr 3.24
Pr 0.0000 0.3324 0.8324  3 Sn 3.01-3.33, 6 Rh 3.05-3.21, 2 Pr 3.24
Pr 0.0000 0.1676 0.3324  3 Sn 3.01-3.33, 6 Rh 3.05-3.21, 2 Pr 3.24
Pr 0.0000 0.8324 0.6676  3 Sn 3.01-3.33, 6 Rh 3.05-3.21, 2 Pr 3.24
Al 0.0000 0.0000 0.0000  8 Rh 2.66
Al 0.0000 0.5000 0.5000  8 Rh 2.66
Sn 0.0000 0.1367 0.6367  6 Rh 2.66-2.70
Sn 0.0000 0.8633 0.3633  6 Rh 2.66-2.70
Sn 0.0000 0.6367 0.8633  6 Rh 2.66-2.70
Sn 0.0000 0.3633 0.1367  6 Rh 2.66-2.70
Rh 0.5000 0.1888 0.0421  2 Al 2.66, 2 Sn 2.70
Rh 0.5000 0.8112 0.9579  2 Al 2.66, 2 Sn 2.70
Rh 0.5000 0.0421 0.8112  2 Al 2.66, 2 Sn 2.70
Rh 0.5000 0.6888 0.4579  2 Al 2.66, 2 Sn 2.70
Rh 0.5000 0.9579 0.1888  2 Al 2.66, 2 Sn 2.70
Rh 0.5000 0.3112 0.5421  2 Al 2.66, 2 Sn 2.70
Rh 0.5000 0.5421 0.6888  2 Al 2.66, 2 Sn 2.70
Rh 0.5000 0.4579 0.3112  2 Al 2.66, 2 Sn 2.70
Rh 0.5000 0.5000 0.0000  4 Sn 2.66
Rh 0.5000 0.0000 0.5000  4 Sn 2.66



Record 5
Below is a geometry-optimized PrTiAlRh2 structure, with properties calculated at the PBE level.

Formation enthalpy at 0 K   -0.78 eV per atom
Electronic total energy   -35.00 eV per cell

Lattice parameters (Å, degrees): 4.0922 4.0922 6.4372 108.53 108.53 90.00
With the nearest neighbours (Å) after each atom.
Fractional positions:
Pr 0.0000 0.0000 0.0000  8 Rh 3.20, 4 Al 3.53, 4 Ti 3.53
Ti 0.2500 0.7500 0.5000  4 Rh 2.54
Al 0.7500 0.2500 0.5000  4 Rh 2.54
Rh 0.6187 0.6187 0.2374  2 Al 2.54, 2 Ti 2.54, 1 Rh 2.73
Rh 0.3813 0.3813 0.7626  2 Al 2.54, 2 Ti 2.54, 1 Rh 2.73



Record 6
Below is a geometry-optimized PrYAlRh structure, with properties calculated at the PBE level.

Formation enthalpy at 0 K   -0.45 eV per atom
Electronic total energy   -24.15 eV per cell

Lattice parameters (Å, degrees): 5.1027 5.1027 5.1027 60.00 60.00 60.00
With the nearest neighbours (Å) after each atom.
Fractional positions:
Pr 0.2500 0.2500 0.2500  4 Al 3.12, 4 Rh 3.12
Y 0.7500 0.7500 0.7500  4 Rh 3.12, 4 Al 3.12
Rh 0.0000 0.0000 0.0000  4 Pr 3.12, 4 Y 3.12
Al 0.5000 0.5000 0.5000  4 Y 3.12, 4 Pr 3.12



Record 7
Below is a geometry-optimized Pr2Al4ZnRh3 structure, with properties calculated at the PBE level.

Formation enthalpy at 0 K   -0.73 eV per atom
Electronic total energy   -55.12 eV per cell

Lattice parameters (Å, degrees): 4.3106 4.3106 10.2717 90.00 90.00 90.00
With the nearest neighbours (Å) after each atom.
Fractional positions:
Pr 0.5000 0.0000 0.2553  8 Al 3.27-3.39, 6 Rh 3.31-3.33, 2 Zn 3.31
Pr 0.0000 0.5000 0.7447  8 Al 3.27-3.39, 2 Zn 3.31, 6 Rh 3.31-3.33
Al 0.5000 0.5000 0.0000  4 Rh 2.51
Al 0.0000 0.0000 0.0000  4 Rh 2.51
Al 0.5000 0.0000 0.6300  3 Rh 2.51-2.54, 2 Zn 2.54
Al 0.0000 0.5000 0.3700  3 Rh 2.51-2.54, 2 Zn 2.54
Zn 0.5000 0.5000 0.5000  4 Al 2.54
Rh 0.0000 0.0000 0.5000  4 Al 2.54
Rh 0.5000 0.0000 0.8746  5 Al 2.51
Rh 0.0000 0.5000 0.1254  5 Al 2.51



Record 8
Below is a geometry-optimized PrAl10Ru2 structure, with properties calculated at the PBE level.

Formation enthalpy at 0 K   -0.52 eV per atom
Electronic total energy   -135.00 eV per cell

Lattice parameters (Å, degrees): 6.8874 6.8874 9.2191 90.00 90.00 96.78
With the nearest neighbours (Å) after each atom.
Fractional positions:
Pr 0.8760 0.1240 0.7500  14 Al 3.20-3.36, 4 Ru 3.50
Pr 0.1240 0.8760 0.2500  14 Al 3.20-3.36, 4 Ru 3.50
Al 0.4095 0.1395 0.7500  2 Ru 2.60, 8 Al 2.68-2.87
Al 0.1395 0.4095 0.2500  2 Ru 2.60, 8 Al 2.68-2.87
Al 0.5905 0.8605 0.2500  2 Ru 2.60, 8 Al 2.68-2.87
Al 0.8605 0.5905 0.7500  2 Ru 2.60, 8 Al 2.68-2.87
Al 0.5187 0.7793 0.7500  7 Al 2.68-2.90, 2 Ru 2.77
Al 0.7793 0.5187 0.2500  7 Al 2.68-2.90, 2 Ru 2.77
Al 0.4813 0.2207 0.2500  7 Al 2.68-2.90, 2 Ru 2.77
Al 0.2207 0.4813 0.7500  7 Al 2.68-2.90, 2 Ru 2.77
Al 0.8391 0.1609 0.3986  8 Al 2.63-2.89, 2 Ru 2.64
Al 0.1609 0.8391 0.6014  8 Al 2.63-2.89, 2 Ru 2.64
Al 0.8391 0.1609 0.1014  8 Al 2.63-2.89, 2 Ru 2.64
Al 0.1609 0.8391 0.8986  8 Al 2.63-2.89, 2 Ru 2.64
Al 0.6221 0.3779 0.5498  6 Al 2.63-2.83, 2 Ru 2.68
Al 0.3779 0.6221 0.4502  6 Al 2.63-2.83, 2 Ru 2.68
Al 0.6221 0.3779 0.9502  6 Al 2.63-2.83, 2 Ru 2.68
Al 0.3779 0.6221 0.0498  6 Al 2.63-2.83, 2 Ru 2.68
Al 0.7728 0.7728 0.0000  2 Ru 2.58, 6 Al 2.73-2.83
Al 0.7728 0.7728 0.5000  2 Ru 2.58, 6 Al 2.73-2.83
Al 0.2272 0.2272 0.0000  2 Ru 2.58, 6 Al 2.73-2.83
Al 0.2272 0.2272 0.5000  2 Ru 2.58, 6 Al 2.73-2.83
Ru 0.5000 0.0000 0.0000  10 Al 2.58-2.77
Ru 0.0000 0.5000 0.0000  10 Al 2.58-2.77
Ru 0.5000 0.0000 0.5000  10 Al 2.58-2.77
Ru 0.0000 0.5000 0.5000  10 Al 2.58-2.77



So what do the calculations give for Fermi-level density of states? Going down the list: 0.3996 0.7477 0.3155 0.5527 0.7848 1.0050 0.7570 0.2487 states/eV/atom.